NaSrWI2 | PBE-GGA | relaxed

V	209.4	Å³/cell
E	-14.54	eV per cell
ΔE_f (raw)	0.90	eV/atom

Cell and atoms, written as CIF:
```
data_NaSrWI2
_chemical_formula_sum 'Na1 Sr1 W1 I2'
_symmetry_space_group_name_H-M 'P 4/m m m'
_symmetry_Int_Tables_number 123
_symmetry_space_group_name_Hall '-P 4 2'
_cell_length_a 5.609
_cell_length_b 5.609
_cell_length_c 6.657
_cell_angle_alpha 90.00
_cell_angle_beta 90.00
_cell_angle_gamma 90.00
loop_
_atom_site_label
_atom_site_type_symbol
_atom_site_fract_x
_atom_site_fract_y
_atom_site_fract_z
Na1 Na 0.000 0.000 0.000
Sr1 Sr 0.000 0.000 0.500
W1 W 0.500 0.500 0.500
I1 I 0.000 0.500 0.000
```